1.
# AlAgB2Mo

Crystalline AlAgB2Mo at its relaxed geometry (GGA-PBEsol, the Alexandria database).

Properties
ΔH_f (0 K) = 1.22 eV/atom
space-group type = P4/mmm

Cell lengths 4.1536, 4.1536, 4.7291 Å; angles 90.00, 90.00, 90.00 degrees
Fractional coordinates of all 5 atoms:
1 Al 0.0000 0.0000 0.0000
2 Ag 0.5000 0.5000 0.0000
3 B 0.0000 0.5000 0.5000
4 B 0.5000 0.0000 0.5000
5 Mo 0.0000 0.0000 0.5000

=====

2.
# MnPBr

Crystalline MnPBr at its relaxed geometry (GGA-PBEsol, the Alexandria database).

Properties
space-group type = F-43m

Cell lengths 4.0556, 4.0556, 4.0556 Å; angles 60.00, 60.00, 60.00 degrees
Fractional coordinates of all 3 atoms:
1 Mn 0.0000 0.0000 0.0000
2 P 0.2500 0.2500 0.2500
3 Br 0.7500 0.7500 0.7500

=====

3.
# Be3PtN

Crystalline Be3PtN at its relaxed geometry (GGA-PBEsol, the Alexandria database).

Properties
space-group type = Pm-3m

Cell lengths 3.5523, 3.5523, 3.5523 Å; angles 90.00, 90.00, 90.00 degrees
Fractional coordinates of all 5 atoms:
1 Be 0.0000 0.0000 0.5000
2 Be 0.0000 0.5000 0.0000
3 Be 0.5000 0.0000 0.0000
4 Pt 0.5000 0.5000 0.5000
5 N 0.0000 0.0000 0.0000

=====

4.
# La2TaNbF

Crystalline La2TaNbF at its relaxed geometry (GGA-PBEsol, the Alexandria database).

Properties
space-group type = P4/mmm

Cell lengths 5.7556, 5.7556, 4.7706 Å; angles 90.00, 90.00, 90.00 degrees
Fractional coordinates of all 5 atoms:
1 La 0.0000 0.5000 0.0000
2 La 0.5000 0.0000 0.0000
3 Ta 0.0000 0.0000 0.0000
4 Nb 0.0000 0.0000 0.5000
5 F 0.5000 0.5000 0.5000

=====

5.
# RbTcH3

Crystalline RbTcH3 at its relaxed geometry (GGA-PBEsol, the Alexandria database).

Properties
space-group type = Pm-3m

Cell lengths 4.4935, 4.4935, 4.4935 Å; angles 90.00, 90.00, 90.00 degrees
Fractional coordinates of all 5 atoms:
1 Rb 0.0000 0.0000 0.0000
2 Tc 0.5000 0.5000 0.5000
3 H 0.0000 0.0000 0.5000
4 H 0.0000 0.5000 0.0000
5 H 0.5000 0.0000 0.0000

=====

6.
# CoAgTeN2

Crystalline CoAgTeN2 at its relaxed geometry (GGA-PBEsol, the Alexandria database).

Properties
space-group type = P4/mmm

Cell lengths 3.6928, 3.6928, 5.4056 Å; angles 90.00, 90.00, 90.00 degrees
Fractional coordinates of all 5 atoms:
1 Co 0.0000 0.0000 0.0000
2 Ag 0.5000 0.5000 0.5000
3 Te 0.0000 0.0000 0.5000
4 N 0.0000 0.5000 0.0000
5 N 0.5000 0.0000 0.0000

=====

Quick rundown of raw total energy, same order as above: -5.4160, -5.4254, -5.9473, -6.6969, -2.4745, -5.3355 eV/atom